1.
The following is a PBE-GGA calculation of a relaxed Tl2MoAu crystal, from Alexandria via LeMat-Bulk.

Properties
Formation enthalpy at 0 K, meV/atom: 797
N(E_F), states/eV per atom: 0.86
Offset from the most stable computed form, meV/atom: 355.0

```
Tl2MoAu
1.0
-4.094 -1.025 0.833
0.394 -3.538 -2.415
1.144 -7.557 7.425
Tl Au Mo
4 2 2
direct
0.621 0.125 0.250
0.129 0.625 0.250
0.375 0.379 0.750
0.875 0.871 0.750
0.000 0.000 0.000
0.750 0.250 0.500
0.500 0.500 0.000
0.250 0.750 0.500
```

=====

2.
The following is a PBE-GGA calculation of a relaxed ErIrRhO6 crystal, from Alexandria via LeMat-Bulk.

Properties
Uncorrected formation energy, eV per atom: -1.3561
N(E_F), states/eV per atom: 0.90

```
ErIrRhO6
1.0
-5.038 -0.529 1.598
3.944 -0.167 3.553
-0.568 8.528 1.031
Er Ir Rh O
2 2 2 12
direct
0.333 0.667 0.250
0.667 0.333 0.750
0.667 0.333 0.250
0.333 0.667 0.750
0.000 0.000 0.000
0.000 0.000 0.500
0.682 0.651 0.120
0.969 0.318 0.120
0.318 0.969 0.620
0.031 0.682 0.880
0.349 0.318 0.380
0.969 0.651 0.380
0.651 0.969 0.880
0.682 0.031 0.380
0.031 0.349 0.620
0.349 0.031 0.120
0.651 0.682 0.620
0.318 0.349 0.880
```

=====

3.
The following is a PBE-GGA calculation of a relaxed RbOs3Cl crystal, from Alexandria via LeMat-Bulk.

Properties
Uncorrected formation energy, eV per atom: 2.3648
N(E_F), states/eV per atom: 1.32
Offset from the most stable computed form, meV/atom: 0.0

```
RbOs3Cl
1.0
-2.397 3.822 -0.675
-3.821 -2.464 -0.380
-0.683 0.366 4.496
Os Rb Cl
3 1 1
direct
0.000 0.500 0.000
0.000 0.000 0.500
0.500 0.000 0.000
0.500 0.500 0.500
0.000 0.000 0.000
```

=====

4.
The following is a PBE-GGA calculation of a relaxed SnTeOsW2 crystal, from Alexandria via LeMat-Bulk.

Properties
Uncorrected formation energy, eV per atom: 2.2871
N(E_F), states/eV per atom: 1.30

```
SnTeOsW2
1.0
-0.312 -2.274 4.377
2.744 -3.565 -1.657
4.041 2.398 1.534
Te Os Sn W
1 1 1 2
direct
0.000 0.000 0.000
0.000 0.500 0.000
0.500 0.500 0.500
0.000 0.000 0.500
0.500 0.000 0.000
```

=====

5.
The following is a PBE-GGA calculation of a relaxed CaCu3Ru crystal, from Alexandria via LeMat-Bulk.

Properties
Formation enthalpy at 0 K, meV/atom: 544
N(E_F), states/eV per atom: 0.98
Offset from the most stable computed form, meV/atom: 0.0

```
CaCu3Ru
1.0
4.676 0.000 0.000
0.000 4.676 0.000
0.000 0.000 4.676
Ru Ca Cu
1 1 3
direct
0.000 0.000 0.000
0.500 0.500 0.500
0.000 0.500 0.000
0.000 0.000 0.500
0.500 0.000 0.000
```

=====

6.
The following is a PBE-GGA calculation of a relaxed Ho2CdIn2 crystal, from Alexandria via LeMat-Bulk.

Properties
Formation enthalpy at 0 K, meV/atom: -375
N(E_F), states/eV per atom: 0.72

```
Ho2CdIn2
1.0
4.791 0.000 0.000
2.396 5.608 -0.560
2.396 -0.154 9.774
Ho Cd In
4 2 4
direct
0.687 0.290 0.335
0.916 0.256 0.913
0.313 0.710 0.665
0.084 0.744 0.087
0.610 0.113 0.668
0.390 0.887 0.332
0.063 0.298 0.577
0.656 0.807 0.881
0.937 0.702 0.423
0.344 0.193 0.119
```

=====

7.
The following is a PBE-GGA calculation of a relaxed Ba2CdTe crystal, from Alexandria via LeMat-Bulk.

Properties
Uncorrected formation energy, eV per atom: -0.4014
N(E_F), states/eV per atom: 1.28
Offset from the most stable computed form, meV/atom: 523.5

```
Ba2CdTe
1.0
5.981 0.000 0.000
2.990 5.179 0.000
2.990 1.726 4.883
Te Ba Cd
1 2 1
direct
0.750 0.750 0.750
0.000 0.000 0.000
0.250 0.250 0.250
0.500 0.500 0.500
```

=====

8.
The following is a PBE-GGA calculation of a relaxed PrMg5Cd7 crystal, from Alexandria via LeMat-Bulk.

Properties
Formation enthalpy at 0 K, meV/atom: -177
N(E_F), states/eV per atom: 0.24

```
PrMg5Cd7
1.0
-1.495 -1.310 5.713
4.998 -4.621 3.451
2.806 4.962 5.074
Pr Mg Cd
1 5 7
direct
0.999 0.001 0.001
0.499 0.003 0.496
0.002 0.003 0.496
0.499 0.496 0.003
0.002 0.496 0.003
0.720 0.780 0.780
0.649 0.351 0.351
0.343 0.657 0.657
0.997 0.351 0.654
0.997 0.654 0.351
0.286 0.214 0.214
0.504 0.784 0.209
0.504 0.209 0.784
```

=====

| no. | volume (Å³ per cell) |
| --- | --- |
| 1 | 189 |
| 2 | 210 |
| 3 | 95 |
| 4 | 117 |
| 5 | 102 |
| 6 | 262 |
| 7 | 151 |
| 8 | 297 |